Record 1
Here is crystalline Tb4NdY8 at its relaxed geometry from Alexandria via LeMat-Bulk. Energies are from GGA-PBE.

Size of the total moment in Bohr magnetons per cell: 0.0
SG: R-3m, No. 166
Energy relative to the elements in eV/atom: 0.199

Cell and atoms, written as extended XYZ:
```
13
Lattice="3.6714 2.1197 9.0900 -3.6714 2.1197 9.0900 0.0000 -4.2393 9.0900" Properties=species:S:1:pos:R:3 pbc="T T T"
Tb 0.0000 0.0000 0.0000
Tb -1.8357 -1.0598 9.0900
Tb -1.8357 1.0598 18.1799
Tb 0.0000 2.1197 9.0899
Nd 0.0000 0.0000 13.6349
Y -2.0345 -1.1746 15.4059
Y 0.0000 0.0000 5.9414
Y 0.0000 -2.3492 11.8640
Y -2.0345 1.1746 11.8640
Y 2.0345 -1.1746 15.4059
Y 0.0000 2.3492 15.4059
Y 0.0000 0.0000 21.3285
Y 2.0345 1.1746 11.8640
```


Record 2
Here is crystalline Tb10NdY4 at its relaxed geometry from Alexandria via LeMat-Bulk. Energies are from GGA-PBE.

Size of the total moment in Bohr magnetons per cell: 0.0
SG: I4/m, No. 87
Energy relative to the elements in eV/atom: 0.333

Cell and atoms, written as extended XYZ:
```
15
Lattice="-4.8603 4.8603 5.2836 4.8603 -4.8603 5.2836 4.8603 4.8603 -5.2836" Properties=species:S:1:pos:R:3 pbc="T T T"
Tb 2.0724 -1.1020 1.6751
Tb 5.9623 -2.7878 3.6085
Tb 4.8603 0.0000 2.6418
Tb 7.6481 1.1020 1.6751
Tb 1.1020 2.0724 1.6751
Tb 3.7582 2.7878 3.6085
Tb -2.7878 3.7582 3.6085
Tb 0.0000 4.8603 2.6418
Tb -1.1020 7.6481 1.6751
Tb 2.7878 5.9623 3.6085
Nd 0.0000 0.0000 5.2836
Y 4.2114 1.6092 0.0000
Y 3.2511 -0.6488 5.2836
Y 1.6092 5.5091 0.0000
Y 0.6488 3.2511 5.2836
```


Record 3
Here is crystalline Tb3Nd2Y7 at its relaxed geometry from Alexandria via LeMat-Bulk. Energies are from GGA-PBE.

Relative energy among the computed polymorphs in eV/atom: 0.071
Size of the total moment in Bohr magnetons per cell: 0.0
SG: Cmmm, No. 65
Energy relative to the elements in eV/atom: 0.157

Cell and atoms, written as extended XYZ:
```
12
Lattice="2.9368 -18.9229 0.0000 2.9368 18.9229 0.0000 0.0000 0.0000 3.6158" Properties=species:S:1:pos:R:3 pbc="T T T"
Tb 0.0000 0.0000 0.0000
Tb 2.9368 13.2901 0.0000
Tb 2.9368 -13.2901 0.0000
Nd 2.9368 6.6285 1.8079
Nd 2.9368 -6.6285 1.8079
Y 2.9368 16.1982 1.8079
Y 2.9368 10.2752 1.8079
Y 2.9368 3.3432 0.0000
Y 2.9368 0.0000 1.8079
Y 2.9368 -3.3432 0.0000
Y 2.9368 -10.2752 1.8079
Y 2.9368 -16.1982 1.8079
```


Record 4
Here is crystalline Tb3Nd4Y2 at its relaxed geometry from Alexandria via LeMat-Bulk. Energies are from GGA-PBE.

Relative energy among the computed polymorphs in eV/atom: 0.000
Size of the total moment in Bohr magnetons per cell: 0.0
SG: P-1, No. 2
Energy relative to the elements in eV/atom: 0.015

Cell and atoms, written as extended XYZ:
```
9
Lattice="6.2563 0.0000 0.0000 3.1258 5.4288 0.0000 3.1075 1.8037 8.8689" Properties=species:S:1:pos:R:3 pbc="T T T"
Tb 0.0000 0.0000 0.0000
Tb 4.1496 3.6113 5.9017
Tb 8.3401 3.6212 2.9672
Nd 5.1963 5.4259 2.9635
Nd 3.1224 1.8107 0.0006
Nd 9.3672 5.4218 8.8683
Nd 7.2933 1.8066 5.9054
Y 7.2861 5.4272 5.9049
Y 5.2035 1.8053 2.9640
```


Record 5
Here is crystalline Tb8Nd6Y at its relaxed geometry from Alexandria via LeMat-Bulk. Energies are from GGA-PBE.

Relative energy among the computed polymorphs in eV/atom: 0.056
Size of the total moment in Bohr magnetons per cell: 0.0
SG: P-3, No. 147
Energy relative to the elements in eV/atom: 0.175

Cell and atoms, written as extended XYZ:
```
15
Lattice="9.4389 0.0000 0.0000 -4.7195 8.1744 0.0000 0.0000 0.0000 6.5857" Properties=species:S:1:pos:R:3 pbc="T T T"
Tb -2.2253 5.3646 2.2631
Tb 0.0000 5.4496 5.8142
Tb 1.1862 3.5649 2.2631
Tb 3.6804 0.7551 4.3226
Tb 1.0391 7.4192 2.2631
Tb 3.5332 4.6095 4.3226
Tb 4.7195 2.7248 0.7715
Tb 6.9447 2.8098 4.3226
Nd -3.2079 6.0827 5.5132
Nd 1.0556 2.3549 5.5132
Nd 2.5672 0.2633 1.0724
Nd 2.1523 7.9111 5.5132
Nd 3.6639 5.8195 1.0724
Nd 7.9273 2.0916 1.0724
Y 0.0000 0.0000 3.2928
```


Record 6
Here is crystalline Tb4NdY7 at its relaxed geometry from Alexandria via LeMat-Bulk. Energies are from GGA-PBE.

Relative energy among the computed polymorphs in eV/atom: 0.195
Size of the total moment in Bohr magnetons per cell: 0.0
SG: C2/m, No. 12
Energy relative to the elements in eV/atom: 0.279

Cell and atoms, written as extended XYZ:
```
12
Lattice="6.0669 -2.9475 0.0000 6.0669 2.9475 0.0000 -5.8745 0.0000 11.2811" Properties=species:S:1:pos:R:3 pbc="T T T"
Tb 0.0292 0.0000 3.1029
Tb -1.7201 0.0000 9.2423
Tb 7.9794 0.0000 2.0388
Tb 6.2302 0.0000 8.1782
Nd 3.1297 0.0000 5.6406
Y -2.9372 0.0000 5.6406
Y 1.6175 0.0000 0.0261
Y 0.1195 0.0000 6.5154
Y 4.3184 0.0000 1.9595
Y 1.9409 0.0000 9.3216
Y 6.1398 0.0000 4.7657
Y 4.6418 0.0000 11.2550
```


Record 7
Here is crystalline Tb5Nd8Y at its relaxed geometry from Alexandria via LeMat-Bulk. Energies are from GGA-PBE.

Size of the total moment in Bohr magnetons per cell: 0.0
SG: I-4, No. 82
Energy relative to the elements in eV/atom: 0.246

Cell and atoms, written as extended XYZ:
```
14
Lattice="-4.8696 4.8696 5.1619 4.8696 -4.8696 5.1619 4.8696 4.8696 -5.1619" Properties=species:S:1:pos:R:3 pbc="T T T"
Tb 0.0000 0.0000 0.0000
Tb 5.9198 2.8660 -0.7574
Tb 2.8660 3.8195 0.7574
Tb -1.0502 2.0036 4.4046
Tb 2.0036 1.0502 5.9193
Nd 3.1336 4.0187 -2.6203
Nd 1.7360 0.8509 2.5416
Nd -0.6757 3.1800 0.9935
Nd 5.7205 3.1336 2.6203
Nd 0.6757 6.5593 0.9935
Nd 1.6897 4.1939 4.1684
Nd -0.8509 1.7360 7.7823
Nd -1.6897 5.5454 4.1684
Y 4.8696 0.0000 2.5810
```


Record 8
Here is crystalline Tb6Nd5Y at its relaxed geometry from Alexandria via LeMat-Bulk. Energies are from GGA-PBE.

Relative energy among the computed polymorphs in eV/atom: 0.000
Size of the total moment in Bohr magnetons per cell: 0.0
SG: C2/m, No. 12
Energy relative to the elements in eV/atom: 0.013

Cell and atoms, written as extended XYZ:
```
12
Lattice="3.1334 -5.4227 0.0000 3.1334 5.4227 0.0000 -2.0762 0.0000 11.7584" Properties=species:S:1:pos:R:3 pbc="T T T"
Tb 1.0459 1.8074 2.9309
Tb 0.0104 0.0000 8.8256
Tb 1.0459 -1.8074 2.9309
Tb 3.1446 1.8074 8.8276
Tb 4.1801 0.0000 2.9328
Tb 3.1446 -1.8074 8.8276
Nd 2.0953 3.6152 5.8792
Nd 3.1334 1.8064 0.0000
Nd 2.0953 0.0000 5.8792
Nd 3.1334 -1.8064 0.0000
Nd 2.0953 -3.6152 5.8792
Y 0.0000 0.0000 0.0000
```


Which formula does entry 1 have? Tb4NdY8